DFT (PBE) results for an optimized crystal structure of Ce5Se5S.

- Electronic total energy: -71.4 eV/cell
- Calculated density: 6.1 g/cm³
- Fermi-level density of states: 30.28 states/eV/cell

Geometry as CIF:
```
data_Ce5Se5S
_cell_length_a 5.882
_cell_length_b 7.227
_cell_length_c 8.310
_cell_angle_alpha 106.86
_cell_angle_beta 90.00
_cell_angle_gamma 114.01
_space_group_name_H-M_alt 'P 1'
_space_group_IT_number 1
_space_group_name_Hall 'P 1'
loop_
_atom_site_label
_atom_site_type_symbol
_atom_site_fract_x
_atom_site_fract_y
_atom_site_fract_z
Ce1 Ce 0.500 0.000 0.000
Ce2 Ce 0.160 0.319 0.834
Ce3 Ce 0.840 0.681 0.166
Ce4 Ce 0.838 0.677 0.672
Ce5 Ce 0.162 0.323 0.328
Se1 Se 0.000 0.000 0.500
Se2 Se 0.330 0.660 0.665
Se3 Se 0.670 0.340 0.335
Se4 Se 0.334 0.668 0.169
Se5 Se 0.666 0.332 0.831
S1 S 0.000 0.000 0.000
```